Entry 1:
This record from Alexandria describes TlCu3Sb after structural relaxation. The functional is GGA-PBE.

Cell and atoms, written as POSCAR:
```
TlCu3Sb
1.0
-0.219 0.229 4.912
2.781 -4.049 0.313
4.056 2.789 0.051
Cu Sb Tl
3 1 1
Cartesian
2.028 1.395 0.025
1.390 -2.025 0.156
-0.109 0.114 2.456
0.000 0.000 0.000
3.309 -0.516 2.638
```

SG: Pm-3m (221)
DOS(E_F) (states/eV per cell): 2.66
Raw formation energy (eV/atom): 0.47
Energy above the most stable polymorph in this dataset (meV/atom): 0
Energy (eV/atom): -3.2869
Density (g/cm3): 7.196

---

Entry 2:
This record from Alexandria describes ReW2Cl after structural relaxation. The functional is GGA-PBE.

Cell and atoms, written as POSCAR:
```
ReW2Cl
1.0
-1.318 -3.767 -1.222
2.076 -0.093 -1.952
4.246 -2.349 2.660
Cl Re W
1 1 2
Cartesian
0.921 -2.494 -0.434
4.082 -3.715 -0.080
2.811 -1.230 0.760
4.596 -2.340 2.254
```

SG: P2/m (10)
DOS(E_F) (states/eV per cell): 2.60
Raw formation energy (eV/atom): 0.73
Energy above the most stable polymorph in this dataset (meV/atom): 332
Energy (eV/atom): -9.3160
Density (g/cm3): 15.326

---

Entry 3:
This record from Alexandria describes KZnI3 after structural relaxation. The functional is GGA-PBE.

Cell and atoms, written as POSCAR:
```
KZnI3
1.0
6.704 0.000 0.000
0.000 6.704 0.000
0.000 0.000 6.704
I K Zn
3 1 1
Cartesian
3.352 0.000 0.000
0.000 3.352 0.000
0.000 0.000 3.352
0.000 0.000 0.000
3.352 3.352 3.352
```

SG: Pm-3m (221)
DOS(E_F) (states/eV per cell): 13.58
Raw formation energy (eV/atom): 0.02
Energy above the most stable polymorph in this dataset (meV/atom): 949
Energy (eV/atom): -1.3844
Density (g/cm3): 2.675

---

Entry 4:
This record from Alexandria describes PrSmI after structural relaxation. The functional is GGA-PBE.

Cell and atoms, written as POSCAR:
```
PrSmI
1.0
-2.059 1.191 -5.077
1.507 -3.137 -1.347
-7.527 -6.491 1.530
I Sm Pr
2 2 2
Cartesian
-2.920 -3.149 -1.102
-5.160 -5.289 -3.792
-0.245 -1.558 -1.814
-7.835 -6.879 -3.080
-2.262 -3.566 -4.563
-5.818 -4.871 -0.331
```

SG: Cmcm (63)
DOS(E_F) (states/eV per cell): 6.79
Raw formation energy (eV/atom): -0.47
Energy above the most stable polymorph in this dataset (meV/atom): 81
Energy (eV/atom): -4.1536
Density (g/cm3): 6.717

---

Entry 5:
This record from Alexandria describes La2TePt2 after structural relaxation. The functional is GGA-PBE.

Cell and atoms, written as POSCAR:
```
La2TePt2
1.0
5.643 0.000 0.000
0.000 5.643 0.000
2.822 2.822 4.292
Te Pt La
1 2 2
Cartesian
0.000 0.000 0.000
2.822 2.822 1.286
5.643 5.643 3.006
5.643 2.822 2.146
2.822 5.643 2.146
```

SG: I4/mmm (139)
DOS(E_F) (states/eV per cell): 3.69
Raw formation energy (eV/atom): -1.11
Energy above the most stable polymorph in this dataset (meV/atom): 144
Energy (eV/atom): -6.1228
Density (g/cm3): 9.665

---

Entry 6:
This record from Alexandria describes GaNiC3 after structural relaxation. The functional is GGA-PBE.

Cell and atoms, written as POSCAR:
```
GaNiC3
1.0
-3.377 1.145 1.352
-1.720 -2.818 -1.909
0.426 -2.301 3.011
C Ga Ni
3 1 1
Cartesian
0.213 -1.150 1.506
-0.860 -1.409 -0.955
-1.688 0.572 0.676
-2.335 -1.987 1.227
0.000 0.000 0.000
```

Formation energy from the elements (eV per atom): 2.234
SG: Pm-3m (221)
DOS(E_F) (states/eV per cell): 4.58
Energy above the most stable polymorph in this dataset (meV/atom): 0
Energy (eV/atom): -5.0616
Density (g/cm3): 4.924

---

Entry 7:
This record from Alexandria describes InCo2Br after structural relaxation. The functional is GGA-PBE.

Cell and atoms, written as POSCAR:
```
InCo2Br
1.0
3.166 0.000 0.000
0.000 3.166 0.000
0.000 0.000 6.365
Co In Br
2 1 1
Cartesian
0.000 0.000 3.152
0.000 0.000 0.030
1.583 1.583 1.591
1.583 1.583 4.774
```

SG: P4/mmm (123)
DOS(E_F) (states/eV per cell): 3.04
Raw formation energy (eV/atom): 0.54
Energy above the most stable polymorph in this dataset (meV/atom): 281
Energy (eV/atom): -4.1194
Density (g/cm3): 8.138

---

Entry 8:
This record from Alexandria describes CeNdPtBr after structural relaxation. The functional is GGA-PBE.

Cell and atoms, written as POSCAR:
```
CeNdPtBr
1.0
4.188 -0.001 0.000
-2.094 3.627 0.000
-2.094 -1.209 7.845
Ce Nd Pt Br
1 1 1 1
Cartesian
-1.698 3.362 0.519
0.396 -0.265 5.252
-1.698 0.944 6.862
2.490 0.944 2.819
```

SG: R3m (160)
DOS(E_F) (states/eV per cell): 9.15
Raw formation energy (eV/atom): -1.16
Energy (eV/atom): -5.7629
Density (g/cm3): 7.794

---

Entry 9:
This record from Alexandria describes HfGaCl3 after structural relaxation. The functional is GGA-PBE.

Cell and atoms, written as POSCAR:
```
HfGaCl3
1.0
-2.738 -4.005 -1.268
3.990 -2.006 -2.282
1.315 -2.255 4.281
Ga Cl Hf
1 3 1
Cartesian
1.283 -4.133 0.366
0.657 -1.128 2.141
-1.369 -2.002 -0.634
1.995 -1.003 -1.141
0.000 0.000 0.000
```

SG: Pm-3m (221)
DOS(E_F) (states/eV per cell): 4.07
Raw formation energy (eV/atom): -0.83
Energy above the most stable polymorph in this dataset (meV/atom): 0
Energy (eV/atom): -4.5292
Density (g/cm3): 4.670

---

Entry 10:
This record from Alexandria describes ScZnFeBi2 after structural relaxation. The functional is GGA-PBE.

Cell and atoms, written as POSCAR:
```
ScZnFeBi2
1.0
-3.385 -2.256 -3.216
-0.245 -3.658 2.824
-3.919 2.236 2.556
Zn Sc Bi Fe
1 1 2 1
Cartesian
-0.123 -1.829 1.412
-3.774 -1.839 1.082
-1.959 1.118 1.278
-1.693 -1.128 -1.608
0.000 0.000 0.000
```

Formation energy from the elements (eV per atom): 0.309
SG: P4/mmm (123)
DOS(E_F) (states/eV per cell): 4.56
Energy (eV/atom): -4.4568
Density (g/cm3): 7.795

---

Entry 11:
This record from Alexandria describes As2BrClF after structural relaxation. The functional is GGA-PBE.

Cell and atoms, written as POSCAR:
```
As2BrClF
1.0
-1.835 3.945 -1.192
0.334 -1.158 -4.347
-4.886 -2.209 0.212
F As Br Cl
1 2 1 1
Cartesian
0.000 0.000 0.000
0.167 -0.579 -2.174
-0.918 1.972 -0.596
-2.443 -1.104 0.106
-3.193 0.289 -2.663
```

SG: P4/mmm (123)
DOS(E_F) (states/eV per cell): 5.22
Raw formation energy (eV/atom): 0.41
Energy above the most stable polymorph in this dataset (meV/atom): 0
Energy (eV/atom): -2.5266
Density (g/cm3): 4.322

---

Entry 12:
This record from Alexandria describes TcOs2W after structural relaxation. The functional is GGA-PBE.

Cell and atoms, written as POSCAR:
```
TcOs2W
1.0
-2.248 0.941 1.294
1.511 -1.980 4.066
3.197 2.491 3.743
W Os Tc
1 2 1
Cartesian
1.598 1.245 1.872
-0.369 -0.519 2.680
0.000 0.000 0.000
1.230 0.726 4.552
```

Formation energy from the elements (eV per atom): 0.079
SG: P2/m (10)
DOS(E_F) (states/eV per cell): 3.66
Energy above the most stable polymorph in this dataset (meV/atom): 93
Energy (eV/atom): -11.3657
Density (g/cm3): 18.513

---

Entry 13:
This record from Alexandria describes Mg2Ta2Ni15 after structural relaxation. The functional is GGA-PBE.

Cell and atoms, written as POSCAR:
```
Mg2Ta2Ni15
1.0
-2.695 -5.700 -0.186
5.242 -3.495 0.310
-0.059 -1.181 6.196
Ni Mg Ta
15 2 2
Cartesian
2.958 -3.954 4.218
0.834 -4.186 5.259
-0.029 -0.591 3.098
2.621 -1.748 0.155
-1.348 -2.850 -0.093
3.633 -2.793 2.096
-1.895 -4.328 1.751
-0.859 -2.553 4.259
-0.470 -6.422 2.101
1.653 -6.191 1.060
3.457 -5.331 2.346
-0.286 -5.031 -0.036
-0.970 -5.046 3.973
2.832 -4.165 0.159
1.550 -1.884 4.409
1.602 -6.682 4.069
0.886 -3.695 2.250
0.264 -1.102 0.671
2.224 -9.274 5.648
```

Formation energy from the elements (eV per atom): -0.075
SG: R-3m (166)
DOS(E_F) (states/eV per cell): 27.45
Energy (eV/atom): -6.0552
Density (g/cm3): 8.793

---

Entry 14:
This record from Alexandria describes LiCd2Te after structural relaxation. The functional is GGA-PBE.

Cell and atoms, written as POSCAR:
```
LiCd2Te
1.0
-3.258 -1.675 3.714
-3.667 -3.529 -1.145
0.407 -4.870 1.824
Li Te Cd
1 1 2
Cartesian
-3.259 -5.037 2.197
-4.888 -7.555 3.295
0.000 0.000 0.000
-1.629 -2.518 1.098
```

SG: F-43m (216)
DOS(E_F) (states/eV per cell): 3.77
Raw formation energy (eV/atom): -0.16
Energy (eV/atom): -1.8835
Density (g/cm3): 5.946

---

Entry 15:
This record from Alexandria describes Pr2GdIn after structural relaxation. The functional is GGA-PBE.

Cell and atoms, written as POSCAR:
```
Pr2GdIn
1.0
-0.357 4.031 3.879
-2.218 -1.132 5.022
3.285 -0.180 4.539
In Gd Pr
1 1 2
Cartesian
0.355 1.360 6.720
0.000 0.000 0.000
0.178 0.680 3.360
0.533 2.039 10.080
```

Formation energy from the elements (eV per atom): -0.180
SG: Fm-3m (225)
DOS(E_F) (states/eV per cell): 6.37
Energy above the most stable polymorph in this dataset (meV/atom): 106
Energy (eV/atom): -6.7745
Density (g/cm3): 7.385

---

Entry 16:
This record from Alexandria describes BaAu2F6 after structural relaxation. The functional is GGA-PBE.

Cell and atoms, written as POSCAR:
```
BaAu2F6
1.0
6.511 1.500 -4.104
-2.082 7.311 -1.923
-1.426 -1.386 8.007
F Ba Au
12 2 4
Cartesian
0.372 6.149 -0.761
-0.335 0.378 1.365
3.338 7.047 0.615
-1.353 5.184 2.478
0.974 3.362 -1.344
1.746 6.833 -3.051
2.028 4.063 3.324
2.993 4.312 0.664
1.256 0.592 5.031
0.010 3.113 1.316
2.630 1.277 2.741
4.356 2.241 -0.498
1.936 1.352 0.071
1.066 6.074 1.909
1.542 2.366 4.183
4.166 5.442 -0.474
-1.163 1.983 2.454
1.460 5.060 -2.203
```

SG: C2/c (15)
Raw formation energy (eV/atom): -1.94
Energy (eV/atom): -4.1302
Density (g/cm3): 6.335

---

Entry 17:
This record from Alexandria describes BeReOs2 after structural relaxation. The functional is GGA-PBE.

Cell and atoms, written as POSCAR:
```
BeReOs2
1.0
-2.312 -3.395 -2.463
2.059 -4.321 0.160
-1.262 3.275 3.259
Be Os Re
1 2 1
Cartesian
-1.851 -1.989 -0.178
0.000 0.000 0.000
0.335 -2.452 1.134
-0.127 -3.858 -1.151
```

Formation energy from the elements (eV per atom): 0.241
SG: I-4m2 (119)
DOS(E_F) (states/eV per cell): 4.48
Energy (eV/atom): -9.4174
Density (g/cm3): 17.678

---

Entry 18:
This record from Alexandria describes Pr4YHo3 after structural relaxation. The functional is GGA-PBE.

Cell and atoms, written as POSCAR:
```
Pr4YHo3
1.0
6.339 0.000 0.000
0.000 7.360 0.000
0.000 0.000 11.678
Y Ho Pr
2 6 8
Cartesian
4.119 4.571 5.839
0.949 2.790 0.000
6.220 4.567 2.916
4.106 4.555 0.000
3.050 2.794 8.755
0.936 2.805 5.839
6.220 4.567 8.761
3.050 2.794 2.922
4.073 0.938 5.839
3.056 6.413 8.789
3.056 6.413 2.889
6.226 0.948 2.950
6.226 0.948 8.728
0.903 6.422 0.000
4.113 0.951 0.000
0.944 6.410 5.839
```

Formation energy from the elements (eV per atom): 0.030
SG: Pmn2_1 (31)
DOS(E_F) (states/eV per cell): 29.49
Energy above the most stable polymorph in this dataset (meV/atom): 20
Energy (eV/atom): -4.8846
Density (g/cm3): 6.993

---

Entry 19:
This record from Alexandria describes MnV4Ni after structural relaxation. The functional is GGA-PBE.

Cell and atoms, written as POSCAR:
```
MnV4Ni
1.0
3.683 0.000 0.000
1.842 3.827 0.459
1.842 1.321 6.238
V Ni Mn
4 1 1
Cartesian
1.842 1.174 3.981
3.683 2.627 5.745
3.683 2.520 0.952
5.525 3.974 2.716
3.683 2.574 3.348
0.000 0.000 0.000
```

Formation energy from the elements (eV per atom): 0.384
SG: C2/m (12)
DOS(E_F) (states/eV per cell): 6.26
Energy (eV/atom): -8.1873
Density (g/cm3): 6.150